Crystalline YBeTe at its relaxed geometry, computed with PBE.

a = 4.894 Å, b = 4.894 Å, c = 4.894 Å
α = 60.00°, β = 60.00°, γ = 60.00°
Element x y z (fractional)
Y: 0.000 0.000 0.000
Be: 0.500 0.500 0.500
Te: 0.750 0.750 0.750

Values from the calculation:
total energy = -4.18 eV per atom
excess energy over the best structure of this formula in the dataset = 552 meV/atom
crystal system = cubic
formation energy without anion corrections = 0.27 eV/atom